Record 1
Material: Dy19Y4Th6
Method: DFT, GGA-PBE
State: optimized geometry

Uncorrected energy = -5.018 eV/atom
DFT formation energy = 0.424 eV per atom
Magnetic moment = 0.001 μB per formula unit
Volume = 33.28 Å³ per atom
SG = I23, No. 197

Cell: 10.7825 10.7825 10.7825 Å, 109.47 109.47 109.47°
Last column: nearest neighbours and their distance in Å.
Element x y z (fractional)
Dy: 0.4654 0.6768 0.6570  1 Th 3.21, 4 Dy 3.31-3.56, 2 Y 3.34-3.42
Dy: 0.6570 0.4654 0.6768  1 Th 3.21, 4 Dy 3.31-3.56, 2 Y 3.34-3.42
Dy: 0.0000 0.7346 0.7346  5 Dy 3.30-3.55, 2 Y 3.32, 2 Th 3.34
Dy: 0.7346 0.7346 0.0000  5 Dy 3.30-3.55, 2 Y 3.32, 2 Th 3.34
Dy: 0.3430 0.0198 0.8084  1 Th 3.21, 4 Dy 3.31-3.56, 2 Y 3.34-3.42
Dy: 0.5346 0.1916 0.2114  1 Th 3.21, 4 Dy 3.31-3.56, 2 Y 3.34-3.42
Dy: 0.0000 0.2654 0.2654  5 Dy 3.30-3.55, 2 Y 3.32, 2 Th 3.34
Dy: 0.1916 0.2114 0.5346  1 Th 3.21, 4 Dy 3.31-3.56, 2 Y 3.34-3.42
Dy: 0.3232 0.7886 0.9802  1 Th 3.21, 4 Dy 3.31-3.56, 2 Y 3.34-3.42
Dy: 0.7346 0.0000 0.7346  5 Dy 3.30-3.55, 2 Y 3.32, 2 Th 3.34
Dy: 0.2654 0.0000 0.2654  5 Dy 3.30-3.55, 2 Y 3.32, 2 Th 3.34
Dy: 0.6768 0.6570 0.4654  1 Th 3.21, 4 Dy 3.31-3.56, 2 Y 3.34-3.42
Dy: 0.7886 0.9802 0.3232  1 Th 3.21, 4 Dy 3.31-3.56, 2 Y 3.34-3.42
Dy: 0.9802 0.3232 0.7886  1 Th 3.21, 4 Dy 3.31-3.56, 2 Y 3.34-3.42
Dy: 0.0198 0.8084 0.3430  1 Th 3.21, 4 Dy 3.31-3.56, 2 Y 3.34-3.42
Dy: 0.2114 0.5346 0.1916  1 Th 3.21, 4 Dy 3.31-3.56, 2 Y 3.34-3.42
Dy: 0.0000 0.0000 0.0000  6 Dy 3.30
Dy: 0.2654 0.2654 0.0000  5 Dy 3.30-3.55, 2 Y 3.32, 2 Th 3.34
Dy: 0.8084 0.3430 0.0198  1 Th 3.21, 4 Dy 3.31-3.56, 2 Y 3.34-3.42
Y: 0.0000 0.6439 0.0000  9 Dy 3.32-3.42
Y: 0.6439 0.0000 0.0000  9 Dy 3.32-3.42
Y: 0.3561 0.3561 0.3561  9 Dy 3.32-3.42
Y: 0.0000 0.0000 0.6439  9 Dy 3.32-3.42
Th: 0.8700 0.3700 0.5000  4 Dy 3.21-3.34, 1 Th 3.24
Th: 0.5000 0.1300 0.6300  4 Dy 3.21-3.34, 1 Th 3.24
Th: 0.5000 0.8700 0.3700  4 Dy 3.21-3.34, 1 Th 3.24
Th: 0.6300 0.5000 0.1299  4 Dy 3.21-3.34, 1 Th 3.24
Th: 0.3700 0.5000 0.8701  4 Dy 3.21-3.34, 1 Th 3.24
Th: 0.1299 0.6300 0.5000  4 Dy 3.21-3.34, 1 Th 3.24

=====

Record 2
Material: PrSm2Sc
Method: DFT, GGA-PBE
State: optimized geometry

Uncorrected energy = -4.981 eV/atom
DFT formation energy = 0.156 eV per atom
Magnetic moment = 0.011 μB per formula unit
Volume = 32.10 Å³ per atom
SG = Fm-3m, No. 225

Cell: 5.6626 5.6626 5.6626 Å, 60.00 60.00 60.00°
Last column: nearest neighbours and their distance in Å.
Element x y z (fractional)
Sc: 0.5000 0.5000 0.5000  8 Sm 3.47
Sm: 0.7500 0.7500 0.7500  4 Sc 3.47, 4 Pr 3.47
Sm: 0.2500 0.2500 0.2500  4 Sc 3.47, 4 Pr 3.47
Pr: 0.0000 0.0000 0.0000  8 Sm 3.47

=====

Record 3
Material: La3SmIr
Method: DFT, GGA-PBE
State: optimized geometry

Uncorrected energy = -5.975 eV/atom
DFT formation energy = -0.302 eV per atom
Magnetic moment = 0.000 μB per formula unit
Volume = 35.20 Å³ per atom
SG = Pmn2_1, No. 31

Cell: 6.5164 6.7692 7.9805 Å, 90.00 89.99 90.00°
Last column: nearest neighbours and their distance in Å.
Element x y z (fractional)
La: 0.9248 0.4957 0.9499  2 Ir 2.85
La: 0.4256 0.3256 0.2007  1 Ir 2.86
La: 0.4249 0.8570 0.4499  2 Ir 2.85
La: 0.9249 0.4957 0.4516  2 Ir 2.85
La: 0.9256 0.0271 0.7009  1 Ir 2.86
La: 0.4248 0.8570 0.9517  2 Ir 2.85
Sm: 0.4284 0.3362 0.7007  1 Ir 2.85
Sm: 0.9284 0.0167 0.2009  1 Ir 2.85
Ir: 0.6744 0.6744 0.2008  1 Sm 2.85, 5 La 2.85-2.86
Ir: 0.1743 0.6784 0.7007  1 Sm 2.85, 5 La 2.85-2.86

=====

Record 4
Material: CrIrOs2
Method: DFT, GGA-PBE
State: optimized geometry

Uncorrected energy = -10.189 eV/atom
DFT formation energy = 0.047 eV per atom
Magnetic moment = 0.909 μB per formula unit
Volume = 13.90 Å³ per atom
SG = Cmmm, No. 65

Cell: 4.6641 4.6641 2.7093 Å, 90.00 90.00 109.37°
Last column: nearest neighbours and their distance in Å.
Element x y z (fractional)
Ir: 0.0000 0.5000 0.5000  2 Cr 2.70, 8 Os 2.70, 2 Ir 2.71
Cr: 0.5000 0.0000 0.5000  2 Ir 2.70, 8 Os 2.70, 2 Cr 2.71
Os: 0.5000 0.5000 0.0000  4 Os 2.70-2.71, 4 Cr 2.70, 4 Ir 2.70
Os: 0.0000 0.0000 0.0000  4 Os 2.70-2.71, 4 Ir 2.70, 4 Cr 2.70

=====

Record 5
Material: BaTaRh2
Method: DFT, GGA-PBE
State: optimized geometry

Uncorrected energy = -7.284 eV/atom
DFT formation energy = -0.164 eV per atom
Magnetic moment = 0.000 μB per formula unit
Volume = 24.46 Å³ per atom
SG = R-3m, No. 166

Cell: 6.5722 6.5722 6.5722 Å, 38.28 38.28 38.28°
Last column: nearest neighbours and their distance in Å.
Element x y z (fractional)
Ba: 0.5000 0.5000 0.5000  8 Rh 3.39-3.78
Rh: 0.7069 0.7069 0.7069  3 Ta 2.59, 3 Rh 2.89
Rh: 0.2931 0.2931 0.2931  3 Ta 2.59, 3 Rh 2.89
Ta: 0.0000 0.0000 0.0000  6 Rh 2.59

=====

Record 6
Material: HfTlAu
Method: DFT, GGA-PBE
State: optimized geometry

Uncorrected energy = -5.235 eV/atom
DFT formation energy = -0.036 eV per atom
Magnetic moment = 0.000 μB per formula unit
Volume = 21.80 Å³ per atom
SG = Pnma, No. 62

Cell: 6.2747 4.7927 8.6986 Å, 90.00 90.00 90.00°
Last column: nearest neighbours and their distance in Å.
Element x y z (fractional)
Au: 0.3643 0.2500 0.6745  3 Hf 2.82-2.85, 3 Tl 2.90-3.12
Au: 0.6357 0.7500 0.3255  3 Hf 2.82-2.85, 3 Tl 2.90-3.12
Au: 0.1357 0.7500 0.1745  3 Hf 2.82-2.85, 3 Tl 2.90-3.12
Au: 0.8643 0.2500 0.8255  3 Hf 2.82-2.85, 3 Tl 2.90-3.12
Tl: 0.1466 0.7500 0.5076  3 Au 2.90-3.12, 4 Hf 3.00-3.16, 2 Tl 3.02
Tl: 0.6466 0.7500 0.9924  3 Au 2.90-3.12, 4 Hf 3.00-3.16, 2 Tl 3.02
Tl: 0.3534 0.2500 0.0076  3 Au 2.90-3.12, 4 Hf 3.00-3.16, 2 Tl 3.02
Tl: 0.8534 0.2500 0.4924  3 Au 2.90-3.12, 4 Hf 3.00-3.16, 2 Tl 3.02
Hf: 0.6069 0.7500 0.6488  3 Au 2.82-2.85, 2 Tl 3.00-3.14
Hf: 0.8931 0.2500 0.1488  3 Au 2.82-2.85, 2 Tl 3.00-3.14
Hf: 0.3931 0.2500 0.3512  3 Au 2.82-2.85, 2 Tl 3.00-3.14
Hf: 0.1069 0.7500 0.8512  3 Au 2.82-2.85, 2 Tl 3.00-3.14

=====

Record 7
Material: Nb3NiMo
Method: DFT, GGA-PBE
State: optimized geometry

Uncorrected energy = -7.866 eV/atom
DFT formation energy = 1.498 eV per atom
Magnetic moment = 0.349 μB per formula unit
Volume = 21.83 Å³ per atom
SG = Pm-3m, No. 221

Cell: 4.7794 4.7794 4.7794 Å, 90.00 90.00 90.00°
Last column: nearest neighbours and their distance in Å.
Element x y z (fractional)
Nb: 0.0000 0.0000 0.5000  2 Mo 2.39
Nb: 0.5000 0.0000 0.0000  2 Mo 2.39
Nb: 0.0000 0.5000 0.0000  2 Mo 2.39
Mo: 0.0000 0.0000 0.0000  6 Nb 2.39
Ni: 0.5000 0.5000 0.5000  12 Nb 3.38

=====

Record 8
Material: Y2HoInS6
Method: DFT, GGA-PBE
State: optimized geometry

Uncorrected energy = -6.155 eV/atom
Magnetic moment = 0.000 μB per formula unit
Volume = 24.86 Å³ per atom
SG = R3, No. 146

Cell: 6.8543 6.8547 7.2801 Å, 61.90 61.91 59.99°
Last column: nearest neighbours and their distance in Å.
Element x y z (fractional)
S: 0.9284 0.6074 0.2493  1 In 2.61, 2 Y 2.74-2.80, 1 Ho 2.79
S: 0.2150 0.9283 0.2493  1 In 2.61, 2 Y 2.74-2.80, 1 Ho 2.79
S: 0.6074 0.2150 0.2492  1 In 2.62, 2 Y 2.74-2.80, 1 Ho 2.79
S: 0.7100 0.1130 0.7548  1 Ho 2.68, 2 Y 2.71-2.77, 1 In 2.76
S: 0.1132 0.4221 0.7547  1 Ho 2.68, 2 Y 2.71-2.77, 1 In 2.76
S: 0.4221 0.7101 0.7546  1 Ho 2.68, 2 Y 2.71-2.77, 1 In 2.76
In: 0.3142 0.3143 0.0571  6 S 2.61-2.76
Y: 0.0189 0.0189 0.9434  6 S 2.71-2.80
Y: 0.5168 0.5167 0.4497  6 S 2.74-2.77
Ho: 0.8156 0.8156 0.5531  6 S 2.68-2.79

=====

Record 9
Material: AlCu3
Method: DFT, GGA-PBE
State: optimized geometry

Uncorrected energy = -4.193 eV/atom
DFT formation energy = -0.185 eV per atom
Magnetic moment = 0.000 μB per formula unit
Volume = 12.48 Å³ per atom
SG = P6_3/mmc, No. 194

Cell: 4.2272 5.2217 5.2217 Å, 120.01 90.00 90.00°
Last column: nearest neighbours and their distance in Å.
Element x y z (fractional)
Cu: 0.7500 0.3316 0.1659  8 Cu 2.59-2.62, 4 Al 2.60-2.61
Cu: 0.7500 0.8341 0.6684  8 Cu 2.59-2.62, 4 Al 2.60-2.61
Cu: 0.2500 0.6684 0.8341  8 Cu 2.59-2.62, 4 Al 2.60-2.61
Cu: 0.2500 0.1658 0.8342  8 Cu 2.59-2.62, 4 Al 2.60-2.61
Cu: 0.2500 0.1659 0.3316  8 Cu 2.59-2.62, 4 Al 2.60-2.61
Cu: 0.7500 0.8342 0.1658  8 Cu 2.59-2.62, 4 Al 2.60-2.61
Al: 0.7500 0.3333 0.6667  12 Cu 2.60-2.61
Al: 0.2500 0.6667 0.3333  12 Cu 2.60-2.61

=====

Record 10
Material: TiAlVTcRh
Method: DFT, GGA-PBE
State: optimized geometry

Uncorrected energy = -8.146 eV/atom
DFT formation energy = -0.451 eV per atom
Magnetic moment = 0.001 μB per formula unit
Volume = 14.55 Å³ per atom
SG = R3m, No. 160

Cell: 4.3178 4.3178 13.5140 Å, 90.00 90.00 120.00°
Last column: nearest neighbours and their distance in Å.
Element x y z (fractional)
Tc: 0.6667 0.3333 0.0126  1 Ti 2.53, 3 V 2.58, 3 Al 2.64, 1 Rh 2.78
Tc: 0.0000 0.0000 0.6792  1 Ti 2.53, 3 V 2.58, 3 Al 2.64, 1 Rh 2.78
Tc: 0.3333 0.6667 0.3459  1 Ti 2.53, 3 V 2.58, 3 Al 2.64, 1 Rh 2.78
Ti: 0.6667 0.3333 0.1997  1 Tc 2.53, 3 Rh 2.62, 1 V 2.63, 3 Al 2.72
Ti: 0.0000 0.0000 0.8664  1 Tc 2.53, 3 Rh 2.62, 1 V 2.63, 3 Al 2.72
Ti: 0.3333 0.6667 0.5330  1 Tc 2.53, 3 Rh 2.62, 1 V 2.63, 3 Al 2.72
V: 0.6667 0.3333 0.3946  3 Tc 2.58, 1 Ti 2.63, 3 Rh 2.71
V: 0.3333 0.6667 0.7280  3 Tc 2.58, 1 Ti 2.63, 3 Rh 2.71
V: 0.0000 0.0000 0.0613  3 Tc 2.58, 1 Ti 2.63, 3 Rh 2.71
Al: 0.0000 0.0000 0.2806  1 Rh 2.61, 3 Tc 2.64, 3 Ti 2.72
Al: 0.3333 0.6667 0.9473  1 Rh 2.61, 3 Tc 2.64, 3 Ti 2.72
Al: 0.6667 0.3333 0.6140  1 Rh 2.61, 3 Tc 2.64, 3 Ti 2.72
Rh: 0.0000 0.0000 0.4738  1 Al 2.61, 3 Ti 2.62, 3 V 2.71, 1 Tc 2.78
Rh: 0.3333 0.6667 0.1405  1 Al 2.61, 3 Ti 2.62, 3 V 2.71, 1 Tc 2.78
Rh: 0.6667 0.3333 0.8071  1 Al 2.61, 3 Ti 2.62, 3 V 2.71, 1 Tc 2.78

=====

Copy entry 8 word for word.
Material: Y2HoInS6
Method: DFT, GGA-PBE
State: optimized geometry

Uncorrected energy = -6.155 eV/atom
Magnetic moment = 0.000 μB per formula unit
Volume = 24.86 Å³ per atom
SG = R3, No. 146

Cell: 6.8543 6.8547 7.2801 Å, 61.90 61.91 59.99°
Last column: nearest neighbours and their distance in Å.
Element x y z (fractional)
S: 0.9284 0.6074 0.2493  1 In 2.61, 2 Y 2.74-2.80, 1 Ho 2.79
S: 0.2150 0.9283 0.2493  1 In 2.61, 2 Y 2.74-2.80, 1 Ho 2.79
S: 0.6074 0.2150 0.2492  1 In 2.62, 2 Y 2.74-2.80, 1 Ho 2.79
S: 0.7100 0.1130 0.7548  1 Ho 2.68, 2 Y 2.71-2.77, 1 In 2.76
S: 0.1132 0.4221 0.7547  1 Ho 2.68, 2 Y 2.71-2.77, 1 In 2.76
S: 0.4221 0.7101 0.7546  1 Ho 2.68, 2 Y 2.71-2.77, 1 In 2.76
In: 0.3142 0.3143 0.0571  6 S 2.61-2.76
Y: 0.0189 0.0189 0.9434  6 S 2.71-2.80
Y: 0.5168 0.5167 0.4497  6 S 2.74-2.77
Ho: 0.8156 0.8156 0.5531  6 S 2.68-2.79